[1]
A relaxed LaBe2Au2 crystal, computed with PBEsol.

```
data_LaBe2Au2
_cell_length_a 4.217
_cell_length_b 4.217
_cell_length_c 9.784
_cell_angle_alpha 90.00
_cell_angle_beta 90.00
_cell_angle_gamma 90.00
_symmetry_space_group_name_H-M 'I 4/m m m'
_symmetry_Int_Tables_number 139
_symmetry_space_group_name_Hall '-I 4 2'
loop_
_atom_site_label
_atom_site_fract_x
_atom_site_fract_y
_atom_site_fract_z
La1 0.000 0.000 0.000
Be1 0.000 0.500 0.250
Au1 0.000 0.000 0.357
```

Computed properties:
E_tot   -4.690 eV/atom
Size of the total moment   0.00 μB per formula unit

[2]
A relaxed AcF3 crystal, computed with PBEsol.

```
data_AcF3
_cell_length_a 3.953
_cell_length_b 3.953
_cell_length_c 6.705
_cell_angle_alpha 90.00
_cell_angle_beta 90.00
_cell_angle_gamma 90.00
_symmetry_space_group_name_H-M 'I 4/m m m'
_symmetry_Int_Tables_number 139
_symmetry_space_group_name_Hall '-I 4 2'
loop_
_atom_site_label
_atom_site_fract_x
_atom_site_fract_y
_atom_site_fract_z
Ac1 0.000 0.000 0.000
F1 0.000 0.000 0.500
F2 0.000 0.500 0.250
```

Computed properties:
E_tot   -6.721 eV/atom
Formation energy without anion corrections   -4.150 eV/atom
Size of the total moment   0.04 μB per formula unit

[3]
A relaxed La2TlCd crystal, computed with PBEsol.

```
data_La2TlCd
_cell_length_a 3.904
_cell_length_b 5.336
_cell_length_c 10.958
_cell_angle_alpha 90.00
_cell_angle_beta 90.00
_cell_angle_gamma 90.00
_symmetry_space_group_name_H-M 'I m m 2'
_symmetry_Int_Tables_number 44
loop_
_symmetry_equiv_pos_as_xyz
'x,y,z'
'-x,-y,z'
'-x,y,z'
'x,-y,z'
'x+1/2,y+1/2,z+1/2'
'-x+1/2,-y+1/2,z+1/2'
'-x+1/2,y+1/2,z+1/2'
'x+1/2,-y+1/2,z+1/2'
loop_
_atom_site_label
_atom_site_fract_x
_atom_site_fract_y
_atom_site_fract_z
La1 0.000 0.000 0.000
La2 0.000 0.500 0.231
Tl1 0.000 0.500 0.770
Cd1 0.000 0.000 0.474
```

Computed properties:
E_tot   -3.977 eV/atom
Size of the total moment   0.00 μB per formula unit

[4]
A relaxed K2BeCu2 crystal, computed with PBEsol.

```
data_K2BeCu2
_cell_length_a 6.251
_cell_length_b 6.251
_cell_length_c 6.683
_cell_angle_alpha 90.00
_cell_angle_beta 90.00
_cell_angle_gamma 90.00
_symmetry_space_group_name_H-M 'I 4/m m m'
_symmetry_Int_Tables_number 139
_symmetry_space_group_name_Hall '-I 4 2'
loop_
_atom_site_label
_atom_site_fract_x
_atom_site_fract_y
_atom_site_fract_z
K1 0.000 0.500 0.250
Be1 0.000 0.000 0.000
Cu1 0.000 0.000 0.322
```

Computed properties:
E_tot   -2.293 eV/atom
Size of the total moment   0.00 μB per formula unit

[5]
A relaxed Zn2CrW crystal, computed with PBEsol.

```
data_Zn2CrW
_cell_length_a 2.718
_cell_length_b 2.718
_cell_length_c 7.549
_cell_angle_alpha 90.00
_cell_angle_beta 90.00
_cell_angle_gamma 90.00
_symmetry_space_group_name_H-M 'P 4 m m'
_symmetry_Int_Tables_number 99
loop_
_symmetry_equiv_pos_as_xyz
'x,y,z'
'-y,x,z'
'-x,-y,z'
'y,-x,z'
'-x,y,z'
'y,x,z'
'x,-y,z'
'-y,-x,z'
loop_
_atom_site_label
_atom_site_fract_x
_atom_site_fract_y
_atom_site_fract_z
Zn1 0.000 0.000 0.000
Zn2 0.500 0.500 0.243
Cr1 0.000 0.000 0.485
W1 0.500 0.500 0.736
```

Computed properties:
E_tot   -6.502 eV/atom
Size of the total moment   2.54 μB per formula unit

[6]
A relaxed LiCo2O3 crystal, computed with PBEsol.

```
data_LiCo2O3
_cell_length_a 2.823
_cell_length_b 3.936
_cell_length_c 8.619
_cell_angle_alpha 90.00
_cell_angle_beta 90.00
_cell_angle_gamma 90.00
_symmetry_space_group_name_H-M 'I m m m'
_symmetry_Int_Tables_number 71
_symmetry_space_group_name_Hall '-I 2 2'
loop_
_atom_site_label
_atom_site_fract_x
_atom_site_fract_y
_atom_site_fract_z
Li1 0.000 0.000 0.000
Co1 0.000 0.000 0.338
O1 0.000 0.500 0.000
O2 0.000 0.500 0.312
```

Computed properties:
E_tot   -6.663 eV/atom
Formation energy without anion corrections   -1.131 eV/atom
Size of the total moment   0.00 μB per formula unit

[7]
A relaxed NiH12S2N2O10 crystal, computed with PBEsol.

```
data_NiH12S2N2O10
_cell_length_a 6.443
_cell_length_b 6.487
_cell_length_c 6.640
_cell_angle_alpha 89.40
_cell_angle_beta 66.68
_cell_angle_gamma 68.78
_symmetry_space_group_name_H-M 'P -1'
_symmetry_Int_Tables_number 2
loop_
_symmetry_equiv_pos_as_xyz
'x,y,z'
'-x,-y,-z'
loop_
_atom_site_label
_atom_site_fract_x
_atom_site_fract_y
_atom_site_fract_z
Ni1 0.000 0.000 0.000
H1 0.173 0.301 0.826
H2 0.209 0.290 0.051
H3 0.237 0.691 0.184
H4 0.244 0.927 0.243
H5 0.271 0.666 0.678
H6 0.271 0.913 0.593
S1 0.400 0.269 0.352
N1 0.299 0.809 0.709
O1 0.115 0.257 0.976
O2 0.143 0.856 0.215
O3 0.264 0.405 0.573
O4 0.359 0.395 0.178
O5 0.368 0.058 0.345
```

Computed properties:
E_tot   -5.551 eV/atom
Size of the total moment   1.89 μB per formula unit

[8]
A relaxed MgFeW2 crystal, computed with PBEsol.

```
data_MgFeW2
_cell_length_a 6.170
_cell_length_b 6.170
_cell_length_c 6.170
_cell_angle_alpha 90.00
_cell_angle_beta 90.00
_cell_angle_gamma 90.00
_symmetry_space_group_name_H-M 'F -4 3 m'
_symmetry_Int_Tables_number 216
_symmetry_space_group_name_Hall 'F -4 2 3'
loop_
_atom_site_label
_atom_site_fract_x
_atom_site_fract_y
_atom_site_fract_z
Mg1 0.000 0.000 0.000
Fe1 0.250 0.250 0.750
W1 0.000 0.000 0.500
W2 0.250 0.250 0.250
```

Computed properties:
E_tot   -9.096 eV/atom
Size of the total moment   1.81 μB per formula unit

[9]
A relaxed ZrScRh2 crystal, computed with PBEsol.

```
data_ZrScRh2
_cell_length_a 4.455
_cell_length_b 3.155
_cell_length_c 9.766
_cell_angle_alpha 90.00
_cell_angle_beta 90.00
_cell_angle_gamma 90.00
_symmetry_space_group_name_H-M 'A m m 2'
_symmetry_Int_Tables_number 38
loop_
_symmetry_equiv_pos_as_xyz
'x,y,z'
'-x,-y,z'
'-x,y,z'
'x,-y,z'
'x,y+1/2,z+1/2'
'-x,-y+1/2,z+1/2'
'-x,y+1/2,z+1/2'
'x,-y+1/2,z+1/2'
loop_
_atom_site_label
_atom_site_fract_x
_atom_site_fract_y
_atom_site_fract_z
Zr1 0.000 0.000 0.000
Sc1 0.500 0.000 0.282
Rh1 0.000 0.000 0.734
Rh2 0.500 0.000 0.549
```

Computed properties:
E_tot   -8.785 eV/atom
Size of the total moment   0.00 μB per formula unit

[10]
A relaxed SiTeIr2 crystal, computed with PBEsol.

```
data_SiTeIr2
_cell_length_a 2.955
_cell_length_b 2.955
_cell_length_c 7.662
_cell_angle_alpha 90.00
_cell_angle_beta 90.00
_cell_angle_gamma 90.00
_symmetry_space_group_name_H-M 'P 4 m m'
_symmetry_Int_Tables_number 99
loop_
_symmetry_equiv_pos_as_xyz
'x,y,z'
'-y,x,z'
'-x,-y,z'
'y,-x,z'
'-x,y,z'
'y,x,z'
'x,-y,z'
'-y,-x,z'
loop_
_atom_site_label
_atom_site_fract_x
_atom_site_fract_y
_atom_site_fract_z
Si1 0.000 0.000 0.000
Te1 0.500 0.500 0.337
Ir1 0.000 0.000 0.568
Ir2 0.500 0.500 0.828
```

Computed properties:
E_tot   -7.044 eV/atom
Formation energy without anion corrections   0.186 eV/atom
Size of the total moment   0.00 μB per formula unit

[11]
A relaxed Be2CuW crystal, computed with PBEsol.

```
data_Be2CuW
_cell_length_a 3.647
_cell_length_b 3.647
_cell_length_c 3.267
_cell_angle_alpha 90.00
_cell_angle_beta 90.00
_cell_angle_gamma 90.00
_symmetry_space_group_name_H-M 'P 4/m m m'
_symmetry_Int_Tables_number 123
_symmetry_space_group_name_Hall '-P 4 2'
loop_
_atom_site_label
_atom_site_fract_x
_atom_site_fract_y
_atom_site_fract_z
Be1 0.000 0.500 0.000
Cu1 0.000 0.000 0.500
W1 0.500 0.500 0.500
```

Computed properties:
E_tot   -6.449 eV/atom
Size of the total moment   0.00 μB per formula unit

[12]
A relaxed TlSbIr2 crystal, computed with PBEsol.

```
data_TlSbIr2
_cell_length_a 3.1900
_cell_length_b 3.1900
_cell_length_c 24.7263
_cell_angle_alpha 90.00
_cell_angle_beta 90.00
_cell_angle_gamma 120.00
_symmetry_space_group_name_H-M 'R -3 m'
_symmetry_Int_Tables_number 166
_symmetry_space_group_name_Hall '-R 3 2"'
loop_
_atom_site_label
_atom_site_fract_x
_atom_site_fract_y
_atom_site_fract_z
Tl1 0.0000 0.0000 0.0000
Sb1 0.0000 0.0000 0.5000
Ir1 0.0000 0.0000 0.2445
```

Computed properties:
E_tot   -6.324 eV/atom
Formation energy without anion corrections   0.384 eV/atom
Size of the total moment   0.00 μB per formula unit

[13]
A relaxed CsAlSe3 crystal, computed with PBEsol.

```
data_CsAlSe3
_cell_length_a 5.726
_cell_length_b 5.726
_cell_length_c 5.726
_cell_angle_alpha 90.00
_cell_angle_beta 90.00
_cell_angle_gamma 90.00
_symmetry_space_group_name_H-M 'P m -3 m'
_symmetry_Int_Tables_number 221
_symmetry_space_group_name_Hall '-P 4 2 3'
loop_
_atom_site_label
_atom_site_fract_x
_atom_site_fract_y
_atom_site_fract_z
Cs1 0.000 0.000 0.000
Al1 0.500 0.500 0.500
Se1 0.000 0.000 0.500
```

Computed properties:
E_tot   -2.239 eV/atom
Formation energy without anion corrections   1.078 eV/atom
Size of the total moment   0.01 μB per formula unit

[14]
A relaxed Cs2ZrCu3F12 crystal, computed with PBEsol.

```
data_Cs2ZrCu3F12
_cell_length_a 7.1053
_cell_length_b 7.1053
_cell_length_c 20.3879
_cell_angle_alpha 90.00
_cell_angle_beta 90.00
_cell_angle_gamma 120.00
_symmetry_space_group_name_H-M 'R -3 m'
_symmetry_Int_Tables_number 166
_symmetry_space_group_name_Hall '-R 3 2"'
loop_
_atom_site_label
_atom_site_fract_x
_atom_site_fract_y
_atom_site_fract_z
Cs1 0.0000 0.0000 0.1044
Zr1 0.0000 0.0000 0.5000
Cu1 0.0000 0.5000 0.0000
F1 0.0604 0.5302 0.1122
F2 0.0698 0.5349 0.3478
```

Computed properties:
E_tot   -5.075 eV/atom
Formation energy without anion corrections   -2.458 eV/atom
Size of the total moment   2.55 μB per formula unit

[15]
A relaxed ZnSiPt2F crystal, computed with PBEsol.

```
data_ZnSiPt2F
_cell_length_a 4.400
_cell_length_b 4.400
_cell_length_c 4.721
_cell_angle_alpha 90.00
_cell_angle_beta 90.00
_cell_angle_gamma 90.00
_symmetry_space_group_name_H-M 'P 4/m m m'
_symmetry_Int_Tables_number 123
_symmetry_space_group_name_Hall '-P 4 2'
loop_
_atom_site_label
_atom_site_fract_x
_atom_site_fract_y
_atom_site_fract_z
Zn1 0.000 0.000 0.000
Si1 0.000 0.000 0.500
Pt1 0.000 0.500 0.500
F1 0.500 0.500 0.000
```

Computed properties:
E_tot   -4.376 eV/atom
Formation energy without anion corrections   0.261 eV/atom
Size of the total moment   0.00 μB per formula unit

[16]
A relaxed SiTeAu2 crystal, computed with PBEsol.

```
data_SiTeAu2
_cell_length_a 3.002
_cell_length_b 3.730
_cell_length_c 7.172
_cell_angle_alpha 90.00
_cell_angle_beta 90.04
_cell_angle_gamma 90.00
_symmetry_space_group_name_H-M 'P 1 m 1'
_symmetry_Int_Tables_number 6
loop_
_symmetry_equiv_pos_as_xyz
'x,y,z'
'x,-y,z'
loop_
_atom_site_label
_atom_site_fract_x
_atom_site_fract_y
_atom_site_fract_z
Si1 0.000 0.000 0.000
Te1 0.998 0.500 0.339
Au1 0.500 0.500 0.851
Au2 0.999 0.000 0.623
```

Computed properties:
E_tot   -4.178 eV/atom
Formation energy without anion corrections   0.102 eV/atom
Size of the total moment   0.00 μB per formula unit

[17]
A relaxed Al2Ag crystal, computed with PBEsol.

```
data_Al2Ag
_cell_length_a 9.201
_cell_length_b 8.521
_cell_length_c 5.062
_cell_angle_alpha 90.00
_cell_angle_beta 100.30
_cell_angle_gamma 90.00
_symmetry_space_group_name_H-M 'C 1 m 1'
_symmetry_Int_Tables_number 8
loop_
_symmetry_equiv_pos_as_xyz
'x,y,z'
'x,-y,z'
'x+1/2,y+1/2,z'
'x+1/2,-y+1/2,z'
loop_
_atom_site_label
_atom_site_fract_x
_atom_site_fract_y
_atom_site_fract_z
Al1 0.000 0.000 0.000
Al2 0.244 0.338 0.753
Al3 0.246 0.169 0.241
Al4 0.250 0.000 0.735
Al5 0.499 0.330 0.504
Ag1 0.258 0.500 0.268
Ag2 0.490 0.000 0.486
Ag3 0.494 0.172 0.989
```

Computed properties:
E_tot   -3.858 eV/atom
Size of the total moment   0.00 μB per formula unit

[18]
A relaxed MnCrFe2 crystal, computed with PBEsol.

```
data_MnCrFe2
_cell_length_a 2.813
_cell_length_b 2.813
_cell_length_c 5.495
_cell_angle_alpha 90.00
_cell_angle_beta 90.00
_cell_angle_gamma 90.00
_symmetry_space_group_name_H-M 'P 4 m m'
_symmetry_Int_Tables_number 99
loop_
_symmetry_equiv_pos_as_xyz
'x,y,z'
'-y,x,z'
'-x,-y,z'
'y,-x,z'
'-x,y,z'
'y,x,z'
'x,-y,z'
'-y,-x,z'
loop_
_atom_site_label
_atom_site_fract_x
_atom_site_fract_y
_atom_site_fract_z
Mn1 0.000 0.000 0.000
Cr1 0.500 0.500 0.236
Fe1 0.000 0.000 0.491
Fe2 0.500 0.500 0.737
```

Computed properties:
E_tot   -9.398 eV/atom
Size of the total moment   4.81 μB per formula unit

[19]
A relaxed Sr4Re2NiO12 crystal, computed with PBEsol.

```
data_Sr4Re2NiO12
_cell_length_a 5.4942
_cell_length_b 5.4942
_cell_length_c 26.6160
_cell_angle_alpha 90.00
_cell_angle_beta 90.00
_cell_angle_gamma 120.00
_symmetry_space_group_name_H-M 'R -3 m'
_symmetry_Int_Tables_number 166
_symmetry_space_group_name_Hall '-R 3 2"'
loop_
_atom_site_label
_atom_site_fract_x
_atom_site_fract_y
_atom_site_fract_z
Sr1 0.0000 0.0000 0.1324
Sr2 0.0000 0.0000 0.2916
Re1 0.0000 0.0000 0.4201
Ni1 0.0000 0.0000 0.0000
O1 0.0049 0.5024 0.1234
O2 0.0102 0.5051 0.2906
```

Computed properties:
E_tot   -7.622 eV/atom
Formation energy without anion corrections   -2.191 eV/atom
Size of the total moment   2.07 μB per formula unit

[20]
A relaxed AgSbF3 crystal, computed with PBEsol.

```
data_AgSbF3
_cell_length_a 4.314
_cell_length_b 4.314
_cell_length_c 4.314
_cell_angle_alpha 90.00
_cell_angle_beta 90.00
_cell_angle_gamma 90.00
_symmetry_space_group_name_H-M 'P m -3 m'
_symmetry_Int_Tables_number 221
_symmetry_space_group_name_Hall '-P 4 2 3'
loop_
_atom_site_label
_atom_site_fract_x
_atom_site_fract_y
_atom_site_fract_z
Ag1 0.000 0.000 0.000
Sb1 0.500 0.500 0.500
F1 0.000 0.000 0.500
```

Computed properties:
E_tot   -3.521 eV/atom
Formation energy without anion corrections   -0.791 eV/atom
Size of the total moment   0.00 μB per formula unit